Here is a relaxed structure of Tm8InTe2 from the Alexandria database. Energies are from PBE.

a = 8.039 Å, b = 8.039 Å, c = 5.778 Å
α = 98.26°, β = 98.26°, γ = 116.46°
Atoms (fractional coordinates):
Tm: 0.087 0.318 0.637
Tm: 0.239 0.761 0.000
Tm: 0.318 0.087 0.637
Tm: 0.398 0.398 0.199
Tm: 0.602 0.602 0.801
Tm: 0.682 0.913 0.363
Tm: 0.761 0.239 0.000
Tm: 0.913 0.682 0.363
In: 0.000 0.000 0.000
Te: 0.305 0.695 0.500
Te: 0.695 0.305 0.500

Output
* SG: C2/m
* calculated total energy: -4.44 eV per atom
* M_tot: 0.00 Bohr magnetons per cell

---

Here is a relaxed structure of Np6Al3S14 from the Alexandria database. Energies are from PBE.

a = 9.642 Å, b = 9.642 Å, c = 6.037 Å
α = 90.00°, β = 90.00°, γ = 120.00°
Atoms (fractional coordinates):
Np: 0.036 0.552 0.000
Np: 0.295 0.108 0.508
Np: 0.448 0.484 0.000
Np: 0.516 0.964 0.000
Np: 0.812 0.705 0.508
Np: 0.892 0.188 0.508
Al: 0.000 0.000 0.932
Al: 0.333 0.667 0.423
Al: 0.667 0.333 0.323
S: 0.000 0.000 0.301
S: 0.097 0.851 0.781
S: 0.149 0.245 0.781
S: 0.189 0.422 0.272
S: 0.232 0.811 0.272
S: 0.333 0.667 0.793
S: 0.430 0.197 0.091
S: 0.524 0.431 0.559
S: 0.569 0.092 0.559
S: 0.578 0.768 0.272
S: 0.755 0.903 0.781
S: 0.767 0.570 0.091
S: 0.803 0.233 0.091
S: 0.908 0.476 0.559

Output
* SG: P3
* calculated total energy: -7.64 eV per atom
* M_tot: 23.00 Bohr magnetons per cell

---

Here is a relaxed structure of HfZrCl2 from the Alexandria database. Energies are from PBE.

a = 3.423 Å, b = 3.423 Å, c = 9.812 Å
α = 97.84°, β = 97.84°, γ = 60.02°
Atoms (fractional coordinates):
Hf: 0.000 0.000 0.000
Zr: 0.604 0.604 0.760
Cl: 0.223 0.223 0.578
Cl: 0.380 0.380 0.180

Output
* polymorph energy (0 for the lowest one): 0.0 kJ per mole of atoms
* SG: Cm
* M_tot: 0.00 Bohr magnetons per cell

---

Here is a relaxed structure of Ca2TbP3Pt12 from the Alexandria database. Energies are from PBE.

a = 7.583 Å, b = 7.583 Å, c = 7.583 Å
α = 66.86°, β = 66.86°, γ = 66.86°
Atoms (fractional coordinates):
Ca: 0.095 0.095 0.095
Ca: 0.905 0.905 0.905
Tb: 0.500 0.500 0.500
P: 0.000 0.500 0.500
P: 0.500 0.000 0.500
P: 0.500 0.500 0.000
Pt: 0.101 0.645 0.645
Pt: 0.161 0.161 0.600
Pt: 0.161 0.600 0.161
Pt: 0.355 0.355 0.899
Pt: 0.355 0.899 0.355
Pt: 0.400 0.839 0.839
Pt: 0.600 0.161 0.161
Pt: 0.645 0.101 0.645
Pt: 0.645 0.645 0.101
Pt: 0.839 0.400 0.839
Pt: 0.839 0.839 0.400
Pt: 0.899 0.355 0.355

Output
* SG: R-3m
* calculated total energy: -5.83 eV per atom
* M_tot: 0.00 Bohr magnetons per cell

---

Here is a relaxed structure of RbAcHg from the Alexandria database. Energies are from PBE.

a = 4.235 Å, b = 4.235 Å, c = 15.310 Å
α = 90.57°, β = 90.57°, γ = 90.01°
Atoms (fractional coordinates):
Rb: 0.239 0.239 0.141
Rb: 0.761 0.761 0.859
Ac: 0.246 0.246 0.413
Ac: 0.754 0.754 0.587
Hg: 0.258 0.258 0.692
Hg: 0.742 0.742 0.308

Output
* polymorph energy (0 for the lowest one): 0.0 kJ per mole of atoms
* SG: C2/m
* M_tot: 0.00 Bohr magnetons per cell

---

Here is a relaxed structure of InTeIN2 from the Alexandria database. Energies are from PBE.

a = 4.170 Å, b = 4.170 Å, c = 8.081 Å
α = 90.00°, β = 90.00°, γ = 90.00°
Atoms (fractional coordinates):
In: 0.000 0.000 0.000
Te: 0.500 0.500 0.000
I: 0.500 0.500 0.500
N: 0.000 0.500 0.500
N: 0.500 0.000 0.500

Output
* polymorph energy (0 for the lowest one): 29.5 kJ per mole of atoms
* SG: P4/mmm
* M_tot: 1.09 Bohr magnetons per cell

---

Here is a relaxed structure of AlNi2Au from the Alexandria database. Energies are from PBE.

a = 4.533 Å, b = 4.533 Å, c = 4.583 Å
α = 104.27°, β = 104.27°, γ = 36.41°
Atoms (fractional coordinates):
Al: 0.000 0.000 0.000
Ni: 0.262 0.262 0.773
Ni: 0.738 0.738 0.227
Au: 0.500 0.500 0.500

Output
* SG: C2/m
* calculated total energy: -4.86 eV per atom
* M_tot: 0.00 Bohr magnetons per cell

---

Here is a relaxed structure of CrReRh2 from the Alexandria database. Energies are from PBE.

a = 8.828 Å, b = 8.828 Å, c = 8.828 Å
α = 17.67°, β = 17.67°, γ = 17.67°
Atoms (fractional coordinates):
Cr: 0.000 0.000 0.000
Re: 0.500 0.500 0.500
Rh: 0.253 0.253 0.253
Rh: 0.747 0.747 0.747

Output
* polymorph energy (0 for the lowest one): 14.9 kJ per mole of atoms
* SG: R-3m
* M_tot: 0.00 Bohr magnetons per cell